[1]
This record from Alexandria describes Cu2PbBr4 after structural relaxation. The functional is PBE.

Properties
The value obtained for the total energy is -3.0829 eV/atom.

Geometry as CIF:
```
data_Cu2PbBr4
_chemical_formula_sum 'Cu4 Pb2 Br8'
_cell_length_a 7.978
_cell_length_b 7.978
_cell_length_c 6.592
_cell_angle_alpha 90.00
_cell_angle_beta 90.00
_cell_angle_gamma 90.00
_space_group_name_H-M_alt 'I 4/m'
_space_group_IT_number 87
_space_group_name_Hall '-I 4'
loop_
_atom_site_label
_atom_site_fract_x
_atom_site_fract_y
_atom_site_fract_z
Cu1 0.000 0.500 0.250
Pb1 0.000 0.000 0.000
Br1 0.161 0.332 0.500
```

[2]
This record from Alexandria describes CuPb3Br after structural relaxation. The functional is PBE.

Properties
The value obtained for the total energy is -2.5772 eV/atom.

Geometry as CIF:
```
data_CuPb3Br
_chemical_formula_sum 'Cu1 Pb3 Br1'
_cell_length_a 5.725
_cell_length_b 5.725
_cell_length_c 5.725
_cell_angle_alpha 90.00
_cell_angle_beta 90.00
_cell_angle_gamma 90.00
_space_group_name_H-M_alt 'P m -3 m'
_space_group_IT_number 221
_space_group_name_Hall '-P 4 2 3'
loop_
_atom_site_label
_atom_site_fract_x
_atom_site_fract_y
_atom_site_fract_z
Cu1 0.000 0.000 0.000
Pb1 0.000 0.500 0.500
Br1 0.500 0.500 0.500
```

[3]
This record from Alexandria describes Cu2Pb2Br after structural relaxation. The functional is PBE.

Properties
The value obtained for the total energy is -3.3244 eV/atom.

Geometry as CIF:
```
data_Cu2Pb2Br
_chemical_formula_sum 'Cu4 Pb4 Br2'
_cell_length_a 7.929
_cell_length_b 7.929
_cell_length_c 3.650
_cell_angle_alpha 90.00
_cell_angle_beta 90.00
_cell_angle_gamma 90.00
_space_group_name_H-M_alt 'P 4/m b m'
_space_group_IT_number 127
_space_group_name_Hall '-P 4 2ab'
loop_
_atom_site_label
_atom_site_fract_x
_atom_site_fract_y
_atom_site_fract_z
Cu1 0.113 0.387 0.000
Pb1 0.171 0.671 0.500
Br1 0.000 0.000 0.000
```

[4]
This record from Alexandria describes Cu3PbBr9 after structural relaxation. The functional is PBE.

Properties
The value obtained for the total energy is -2.7250 eV/atom.

Geometry as CIF:
```
data_Cu3PbBr9
_chemical_formula_sum 'Cu12 Pb4 Br36'
_cell_length_a 19.838
_cell_length_b 8.296
_cell_length_c 14.748
_cell_angle_alpha 90.00
_cell_angle_beta 131.47
_cell_angle_gamma 90.00
_space_group_name_H-M_alt 'C 1 c 1'
_space_group_IT_number 9
_space_group_name_Hall 'C -2yc'
loop_
_atom_site_label
_atom_site_fract_x
_atom_site_fract_y
_atom_site_fract_z
Cu1 0.000 0.152 0.000
Cu2 0.115 0.338 0.313
Cu3 0.320 0.342 0.946
Pb1 0.327 0.002 0.198
Br1 0.006 0.360 0.334
Br2 0.101 0.353 0.136
Br3 0.108 0.054 0.992
Br4 0.174 0.396 0.879
Br5 0.191 0.087 0.408
Br6 0.258 0.283 0.747
Br7 0.359 0.203 0.386
Br8 0.380 0.307 0.146
Br9 0.469 0.384 0.022
```

[5]
This record from Alexandria describes Cu2PbBr after structural relaxation. The functional is PBE.

Properties
The value obtained for the total energy is -2.9410 eV/atom.

Geometry as CIF:
```
data_Cu2PbBr
_chemical_formula_sum 'Cu2 Pb1 Br1'
_cell_length_a 4.436
_cell_length_b 4.436
_cell_length_c 4.349
_cell_angle_alpha 90.00
_cell_angle_beta 90.00
_cell_angle_gamma 90.00
_space_group_name_H-M_alt 'P 4/m m m'
_space_group_IT_number 123
_space_group_name_Hall '-P 4 2'
loop_
_atom_site_label
_atom_site_fract_x
_atom_site_fract_y
_atom_site_fract_z
Cu1 0.000 0.500 0.000
Pb1 0.000 0.000 0.500
Br1 0.500 0.500 0.500
```

[6]
This record from Alexandria describes Cu2PbBr after structural relaxation. The functional is PBE.

Properties
The value obtained for the total energy is -3.3333 eV/atom.

Geometry as CIF:
```
data_Cu2PbBr
_chemical_formula_sum 'Cu2 Pb1 Br1'
_cell_length_a 3.385
_cell_length_b 3.385
_cell_length_c 7.457
_cell_angle_alpha 90.00
_cell_angle_beta 90.00
_cell_angle_gamma 90.00
_space_group_name_H-M_alt 'P 4 m m'
_space_group_IT_number 99
_space_group_name_Hall 'P 4 -2'
loop_
_atom_site_label
_atom_site_fract_x
_atom_site_fract_y
_atom_site_fract_z
Cu1 0.000 0.000 0.000
Cu2 0.500 0.500 0.133
Pb1 0.000 0.000 0.382
Br1 0.500 0.500 0.794
```

[7]
This record from Alexandria describes Cu2PbBr after structural relaxation. The functional is PBE.

Properties
The value obtained for the total energy is -3.1752 eV/atom.

Geometry as CIF:
```
data_Cu2PbBr
_chemical_formula_sum 'Cu8 Pb4 Br4'
_cell_length_a 6.575
_cell_length_b 6.575
_cell_length_c 9.076
_cell_angle_alpha 90.00
_cell_angle_beta 90.00
_cell_angle_gamma 90.00
_space_group_name_H-M_alt 'I -4 2 d'
_space_group_IT_number 122
_space_group_name_Hall 'I -4 2bw'
loop_
_atom_site_label
_atom_site_fract_x
_atom_site_fract_y
_atom_site_fract_z
Cu1 0.229 0.250 0.125
Pb1 0.000 0.000 0.500
Br1 0.000 0.000 0.000
```

[8]
This record from Alexandria describes CuPb2Br after structural relaxation. The functional is PBE.

Properties
The value obtained for the total energy is -3.1239 eV/atom.

Geometry as CIF:
```
data_CuPb2Br
_chemical_formula_sum 'Cu2 Pb4 Br2'
_cell_length_a 4.327
_cell_length_b 4.327
_cell_length_c 11.848
_cell_angle_alpha 90.00
_cell_angle_beta 90.00
_cell_angle_gamma 90.00
_space_group_name_H-M_alt 'I -4 m 2'
_space_group_IT_number 119
_space_group_name_Hall 'I -4 -2'
loop_
_atom_site_label
_atom_site_fract_x
_atom_site_fract_y
_atom_site_fract_z
Cu1 0.000 0.000 0.000
Pb1 0.000 0.000 0.500
Pb2 0.000 0.500 0.750
Br1 0.000 0.500 0.250
```

[9]
This record from Alexandria describes CuPb2Br6 after structural relaxation. The functional is PBE.

Properties
The value obtained for the total energy is -3.0240 eV/atom.

Geometry as CIF:
```
data_CuPb2Br6
_chemical_formula_sum 'Cu2 Pb4 Br12'
_cell_length_a 6.840
_cell_length_b 6.840
_cell_length_c 12.995
_cell_angle_alpha 90.00
_cell_angle_beta 90.00
_cell_angle_gamma 90.00
_space_group_name_H-M_alt 'P 42/m n m'
_space_group_IT_number 136
_space_group_name_Hall '-P 4n 2n'
loop_
_atom_site_label
_atom_site_fract_x
_atom_site_fract_y
_atom_site_fract_z
Cu1 0.000 0.000 0.000
Pb1 0.000 0.000 0.336
Br1 0.184 0.184 0.142
Br2 0.213 0.213 0.500
```

[10]
This record from Alexandria describes CuPb2Br after structural relaxation. The functional is PBE.

Properties
The value obtained for the total energy is -3.1140 eV/atom.

Geometry as CIF:
```
data_CuPb2Br
_chemical_formula_sum 'Cu2 Pb4 Br2'
_cell_length_a 4.901
_cell_length_b 4.901
_cell_length_c 8.746
_cell_angle_alpha 90.00
_cell_angle_beta 90.00
_cell_angle_gamma 90.00
_space_group_name_H-M_alt 'I 4/m m m'
_space_group_IT_number 139
_space_group_name_Hall '-I 4 2'
loop_
_atom_site_label
_atom_site_fract_x
_atom_site_fract_y
_atom_site_fract_z
Cu1 0.000 0.000 0.000
Pb1 0.000 0.500 0.250
Br1 0.000 0.000 0.500
```

[11]
This record from Alexandria describes Cu2PbBr after structural relaxation. The functional is PBE.

Properties
The value obtained for the total energy is -3.2374 eV/atom.

Geometry as CIF:
```
data_Cu2PbBr
_chemical_formula_sum 'Cu4 Pb2 Br2'
_cell_length_a 9.346
_cell_length_b 3.622
_cell_length_c 6.598
_cell_angle_alpha 90.00
_cell_angle_beta 119.83
_cell_angle_gamma 90.00
_space_group_name_H-M_alt 'C 1 2/m 1'
_space_group_IT_number 12
_space_group_name_Hall '-C 2y'
loop_
_atom_site_label
_atom_site_fract_x
_atom_site_fract_y
_atom_site_fract_z
Cu1 0.168 0.000 0.358
Pb1 0.000 0.500 0.500
Br1 0.000 0.500 0.000
```

[12]
This record from Alexandria describes CuPb2Br after structural relaxation. The functional is PBE.

Properties
The value obtained for the total energy is -3.3134 eV/atom.

Geometry as CIF:
```
data_CuPb2Br
_chemical_formula_sum 'Cu1 Pb2 Br1'
_cell_length_a 3.442
_cell_length_b 3.664
_cell_length_c 8.568
_cell_angle_alpha 90.00
_cell_angle_beta 90.19
_cell_angle_gamma 90.00
_space_group_name_H-M_alt 'P 1 2/m 1'
_space_group_IT_number 10
_space_group_name_Hall '-P 2y'
loop_
_atom_site_label
_atom_site_fract_x
_atom_site_fract_y
_atom_site_fract_z
Cu1 0.000 0.000 0.000
Pb1 0.490 0.500 0.796
Br1 0.500 0.000 0.500
```

[13]
This record from Alexandria describes Cu2PbBr after structural relaxation. The functional is PBE.

Properties
The value obtained for the total energy is -2.8474 eV/atom.

Geometry as CIF:
```
data_Cu2PbBr
_chemical_formula_sum 'Cu8 Pb4 Br4'
_cell_length_a 6.964
_cell_length_b 6.964
_cell_length_c 6.964
_cell_angle_alpha 90.00
_cell_angle_beta 90.00
_cell_angle_gamma 90.00
_space_group_name_H-M_alt 'F m -3 m'
_space_group_IT_number 225
_space_group_name_Hall '-F 4 2 3'
loop_
_atom_site_label
_atom_site_fract_x
_atom_site_fract_y
_atom_site_fract_z
Cu1 0.250 0.250 0.250
Pb1 0.000 0.000 0.000
Br1 0.000 0.000 0.500
```